Below is a geometry-optimized BePtSe2 structure, with properties calculated at the GGA-PBE level.

Cell: 6.964 6.964 6.964 Å, 30.48 30.48 30.48°
Element x y z (fractional)
Pt 0.752 0.752 0.752
Se 0.215 0.215 0.215
Se 0.024 0.024 0.024
Be 0.510 0.510 0.510

Output
E_tot in eV per atom: -4.362
Space-group type: R3m (160)
M_tot in μB per formula unit: 0.0